VASP calculation (PBE) on a relaxed Na2BH6Pd crystal.

Cell: 6.9197 7.0309 4.9265 Å, 90.00 134.47 90.00°
Space group C2/m (No. 12)
One atom of each set of equivalent atoms:
Na1 0.0000 0.2498 0.0000 (multiplicity 4)
B1 0.0000 0.0000 0.5000 (multiplicity 2)
H1 0.0000 0.1776 0.5000 (multiplicity 4)
H2 0.2432 0.0000 0.5028 (multiplicity 4)
H3 0.2434 0.0000 0.9847 (multiplicity 4)
Pd1 0.0000 0.5000 0.5000 (multiplicity 2)

As for the total energy: -69.39 eV for the cell shown. The value obtained for the calculated volume is 171 Å³/cell. Its calculated density is 3.286 g cm⁻³. Its crystal system is monoclinic. The calculation puts the density of states at the Fermi level at 0.6 states/eV/f.u.